[1]
DFT (GGA-PBE) results for an optimized crystal structure of BaLa.

Unit cell a=3.9863 b=3.9863 c=11.9343 alpha=90.00 beta=90.00 gamma=90.00
Atoms (fractional coordinates):
Ba  0.2500  0.2500  0.1496
Ba  0.7500  0.7500  0.8504
La  0.2500  0.2500  0.5963
La  0.7500  0.7500  0.4037

- space group = P4/nmm, No. 129
- ΔH_f (0 K) (eV per atom) = 0.097
- theoretical density (g cm⁻³) = 4.8
- energy above the most stable polymorph in this dataset (meV/atom) = 0


[2]
DFT (GGA-PBE) results for an optimized crystal structure of Ac4GaPdBr2.

Unit cell a=8.0715 b=4.4833 c=8.0941 alpha=90.00 beta=107.75 gamma=90.00
Atoms (fractional coordinates):
Ac  0.2312  0.0000  0.2105
Ac  0.2517  0.5000  0.7788
Ac  0.7483  0.5000  0.2212
Ac  0.7688  0.0000  0.7895
Ga  0.5000  0.0000  0.0000
Pd  0.0000  0.5000  0.0000
Br  0.0000  0.0000  0.5000
Br  0.5000  0.5000  0.5000

- space group = P2/m, No. 10
- raw formation energy (eV per atom) = -0.956
- theoretical density (g cm⁻³) = 7.4


[3]
DFT (GGA-PBE) results for an optimized crystal structure of HfMgZrTe2.

Unit cell a=5.4607 b=5.4607 c=5.3407 alpha=90.00 beta=90.00 gamma=90.00
Atoms (fractional coordinates):
Hf  0.0000  0.0000  0.0000
Mg  0.0000  0.0000  0.5000
Zr  0.5000  0.5000  0.5000
Te  0.0000  0.5000  0.0000
Te  0.5000  0.0000  0.0000

- space group = P4/mmm, No. 123
- raw formation energy (eV per atom) = 0.533
- theoretical density (g cm⁻³) = 5.7


[4]
DFT (GGA-PBE) results for an optimized crystal structure of OsPdRh6.

Unit cell a=3.8480 b=3.8480 c=7.7272 alpha=90.00 beta=90.00 gamma=90.00
Atoms (fractional coordinates):
Os  0.0000  0.0000  0.0000
Pd  0.0000  0.0000  0.5000
Rh  0.0000  0.5000  0.2426
Rh  0.0000  0.5000  0.7574
Rh  0.5000  0.0000  0.2426
Rh  0.5000  0.0000  0.7574
Rh  0.5000  0.5000  0.0000
Rh  0.5000  0.5000  0.5000

- space group = P4/mmm, No. 123
- ΔH_f (0 K) (eV per atom) = 0.029
- theoretical density (g cm⁻³) = 13.3


[5]
DFT (GGA-PBE) results for an optimized crystal structure of LiCo2BAs.

Unit cell a=2.8585 b=4.2335 c=5.0691 alpha=88.19 beta=73.87 gamma=70.58
Atoms (fractional coordinates):
Li  0.0000  0.0000  0.0000
Co  0.1314  0.4884  0.2509
Co  0.4103  0.4557  0.7168
B  0.7476  0.5197  0.9830
As  0.2904  0.9608  0.4680

- space group = P1, No. 1
- ΔH_f (0 K) (eV per atom) = -0.174
- theoretical density (g cm⁻³) = 6.3
- energy above the most stable polymorph in this dataset (meV/atom) = 116


[6]
DFT (GGA-PBE) results for an optimized crystal structure of MnAgW2.

Unit cell a=3.3657 b=4.1957 c=4.4508 alpha=90.00 beta=90.00 gamma=90.00
Atoms (fractional coordinates):
Mn  0.0000  0.0000  0.0000
Ag  0.5000  0.5000  0.0000
W  0.0000  0.5000  0.5000
W  0.5000  0.0000  0.5000

- space group = Pmmm, No. 47
- ΔH_f (0 K) (eV per atom) = 0.522
- theoretical density (g cm⁻³) = 14.0
- energy above the most stable polymorph in this dataset (meV/atom) = 196


[7]
DFT (GGA-PBE) results for an optimized crystal structure of LaMoAs2.

Unit cell a=6.9139 b=6.9139 c=6.9139 alpha=90.00 beta=90.00 gamma=90.00
Atoms (fractional coordinates):
La  0.0000  0.0000  0.0000
La  0.0000  0.5000  0.5000
La  0.5000  0.0000  0.5000
La  0.5000  0.5000  0.0000
Mo  0.2500  0.2500  0.2500
Mo  0.2500  0.7500  0.7500
Mo  0.7500  0.2500  0.7500
Mo  0.7500  0.7500  0.2500
As  0.0000  0.0000  0.5000
As  0.0000  0.5000  0.0000
As  0.2500  0.2500  0.7500
As  0.2500  0.7500  0.2500
As  0.5000  0.0000  0.0000
As  0.5000  0.5000  0.5000
As  0.7500  0.2500  0.2500
As  0.7500  0.7500  0.7500

- space group = F-43m, No. 216
- ΔH_f (0 K) (eV per atom) = 0.194
- theoretical density (g cm⁻³) = 7.7
- energy above the most stable polymorph in this dataset (meV/atom) = 840


[8]
DFT (GGA-PBE) results for an optimized crystal structure of Mg3Zr3TaN8.

Unit cell a=6.3330 b=6.3330 c=6.3330 alpha=61.19 beta=61.19 gamma=61.19
Atoms (fractional coordinates):
Mg  0.0000  0.5000  0.5000
Mg  0.5000  0.0000  0.5000
Mg  0.5000  0.5000  0.0000
Zr  0.0000  0.0000  0.5000
Zr  0.0000  0.5000  0.0000
Zr  0.5000  0.0000  0.0000
Ta  0.5000  0.5000  0.5000
N  0.2472  0.2472  0.2472
N  0.2608  0.7324  0.7324
N  0.2676  0.2676  0.7392
N  0.2676  0.7392  0.2676
N  0.7324  0.2608  0.7324
N  0.7324  0.7324  0.2608
N  0.7392  0.2676  0.2676
N  0.7528  0.7528  0.7528

- space group = R-3m, No. 166
- raw formation energy (eV per atom) = -1.125
- theoretical density (g cm⁻³) = 5.8